Version a
The following is a PBE calculation of Ag2SnCl after structural relaxation, from Alexandria.

a b c (Å): 5.0174 5.0174 5.0174
angles (deg): 60.00 60.00 60.00
With the nearest neighbours (Å) after each atom.
Fractional coordinates of all 4 atoms:
Ag1 0.2500 0.2500 0.2500  4 Cl 3.07, 4 Sn 3.07
Ag2 0.7500 0.7500 0.7500  4 Cl 3.07, 4 Sn 3.07
Sn1 0.0000 0.0000 0.0000  8 Ag 3.07
Cl1 0.5000 0.5000 0.5000  8 Ag 3.07

Values from the calculation:
Its crystal system is cubic. The value obtained for the magnetic moment is 0.000 μB per atom. As for the space group: Fm-3m.

Version b
The following is a PBE calculation of Ag2SnCl after structural relaxation, from Alexandria.

a b c (Å): 6.2652 6.2652 6.2652
angles (deg): 103.16 103.16 122.99
With the nearest neighbours (Å) after each atom.
Fractional coordinates of all 8 atoms:
Ag1 0.1225 0.1250 0.4975  2 Cl 2.84, 2 Sn 2.87, 2 Ag 2.99
Ag2 0.3750 0.8775 0.0025  2 Cl 2.84, 2 Sn 2.87, 2 Ag 2.99
Ag3 0.6275 0.6250 0.5025  2 Cl 2.84, 2 Sn 2.87, 2 Ag 2.99
Ag4 0.8750 0.3725 0.9975  2 Cl 2.84, 2 Sn 2.87, 2 Ag 2.99
Sn1 0.2500 0.7500 0.5000  4 Ag 2.87, 2 Cl 2.99
Sn2 0.5000 0.5000 0.0000  4 Ag 2.87, 2 Cl 2.99
Cl1 0.0000 0.0000 0.0000  4 Ag 2.84, 2 Sn 2.99
Cl2 0.7500 0.2500 0.5000  4 Ag 2.84, 2 Sn 2.99

Values from the calculation:
Its crystal system is tetragonal. The value obtained for the magnetic moment is 0.000 μB per atom. As for the space group: I-42d.

Which one is most stable, and which one is least stable? version b is the most stable of them, while version a is the least stable.

Version a
The following is a PBE calculation of AgSnCl4 after structural relaxation, from Alexandria.

a b c (Å): 7.3661 7.3661 7.3661
angles (deg): 137.95 137.95 60.99
With the nearest neighbours (Å) after each atom.
Fractional coordinates of all 6 atoms:
Ag1 0.0000 0.0000 0.0000  4 Cl 2.71
Sn1 0.7500 0.2500 0.5000  6 Cl 2.59-2.65
Cl1 0.2393 0.2393 0.0000  2 Sn 2.65
Cl2 0.5456 0.0456 0.5000  1 Sn 2.59, 2 Ag 2.71
Cl3 0.7607 0.7607 0.0000  2 Sn 2.65
Cl4 0.9544 0.4544 0.5000  1 Sn 2.59, 2 Ag 2.71

Values from the calculation:
Its crystal system is tetragonal. The value obtained for the magnetic moment is 0.000 μB per atom. As for the space group: I-4m2.

Version b
The following is a PBE calculation of AgSnCl4 after structural relaxation, from Alexandria.

a b c (Å): 6.5350 6.5506 10.1437
angles (deg): 90.00 90.00 90.00
With the nearest neighbours (Å) after each atom.
Fractional coordinates of all 12 atoms:
Ag1 0.0000 0.0000 0.0000  4 Cl 2.67
Ag2 0.5000 0.5000 0.0000  4 Cl 2.65
Sn1 0.0000 0.0000 0.5000  4 Cl 2.32
Sn2 0.5000 0.0000 0.0000  4 Cl 2.75
Cl1 0.2084 0.2088 0.3732  1 Sn 2.32
Cl2 0.2084 0.7912 0.6268  1 Sn 2.32
Cl3 0.2397 0.2627 0.8712  2 Ag 2.65-2.67, 1 Sn 2.75
Cl4 0.2397 0.7373 0.1288  2 Ag 2.65-2.67, 1 Sn 2.75
Cl5 0.7603 0.2627 0.1288  2 Ag 2.65-2.67, 1 Sn 2.75
Cl6 0.7603 0.7373 0.8712  2 Ag 2.65-2.67, 1 Sn 2.75
Cl7 0.7916 0.2088 0.6268  1 Sn 2.32
Cl8 0.7916 0.7912 0.3732  1 Sn 2.32

Values from the calculation:
Its crystal system is orthorhombic. The value obtained for the magnetic moment is 0.000 μB per atom. As for the space group: P222.

Which one is most stable, and which one is least stable? version a is the most stable of them, while version b is the least stable.

Version a
The following is a PBE calculation of Sr2AgCl after structural relaxation, from Alexandria.

a b c (Å): 4.3863 4.3863 8.4650
angles (deg): 105.19 105.19 59.81
With the nearest neighbours (Å) after each atom.
Fractional coordinates of all 4 atoms:
Sr1 0.2471 0.2471 0.2368  3 Ag 3.17, 3 Cl 3.29-3.32
Sr2 0.7529 0.7529 0.7632  3 Ag 3.17, 3 Cl 3.29-3.32
Ag1 0.5000 0.5000 0.0000  6 Sr 3.17
Cl1 0.0000 0.0000 0.5000  6 Sr 3.29-3.32

Values from the calculation:
Its crystal system is monoclinic. The value obtained for the magnetic moment is 0.000 μB per atom. As for the space group: C2/m.

Version b
The following is a PBE calculation of Sr2AgCl after structural relaxation, from Alexandria.

a b c (Å): 8.5765 8.5765 8.5765
angles (deg): 153.08 151.74 39.42
With the nearest neighbours (Å) after each atom.
Fractional coordinates of all 4 atoms:
Sr1 0.0000 0.0000 0.0000  4 Ag 3.23, 2 Cl 3.37
Sr2 0.7606 0.2606 0.5000  2 Ag 3.20, 4 Cl 3.25
Ag1 0.4108 0.4108 0.0000  6 Sr 3.20-3.23
Cl1 0.1685 0.6685 0.5000  6 Sr 3.25-3.37

Values from the calculation:
Its crystal system is orthorhombic. The value obtained for the magnetic moment is 0.000 μB per atom. As for the space group: Imm2.

Which one is most stable, and which one is least stable? version a is the most stable of them, while version b is the least stable.

Version a
The following is a PBE calculation of Sr2AgCl after structural relaxation, from Alexandria.

a b c (Å): 6.0160 6.0160 6.0160
angles (deg): 135.97 111.66 84.95
With the nearest neighbours (Å) after each atom.
Fractional coordinates of all 4 atoms:
Sr1 0.2283 0.2283 0.0000  2 Cl 3.03, 2 Ag 3.30
Sr2 0.7717 0.7717 0.0000  2 Cl 3.03, 2 Ag 3.30
Ag1 0.5000 0.0000 0.5000  4 Sr 3.30
Cl1 0.0000 0.5000 0.5000  4 Sr 3.03

Values from the calculation:
Its crystal system is orthorhombic. The value obtained for the magnetic moment is 0.000 μB per atom. As for the space group: Immm.

Version b
The following is a PBE calculation of Sr2AgCl after structural relaxation, from Alexandria.

a b c (Å): 8.2017 8.2017 4.3099
angles (deg): 90.07 90.07 28.75
With the nearest neighbours (Å) after each atom.
Fractional coordinates of all 4 atoms:
Sr1 0.0000 0.0000 0.0000  1 Cl 3.00, 4 Ag 3.24
Sr2 0.2421 0.2421 0.4980  4 Cl 3.16, 2 Ag 3.25
Ag1 0.5826 0.5826 0.5004  6 Sr 3.24-3.25
Cl1 0.8114 0.8114 0.9985  5 Sr 3.00-3.16

Values from the calculation:
Its crystal system is monoclinic. The value obtained for the magnetic moment is 0.108 μB per atom. As for the space group: Cm.

Which one is most stable, and which one is least stable? version b is the most stable of them, while version a is the least stable.